(1)
## BaBi2Pd2Pb (GGA-PBE)

Data for BaBi2Pd2Pb after structural relaxation.

* mass density: 8.8 Mg/m³
* ΔH_f (0 K): -5.69 kcal/mol of atoms
* total moment: 0.000 μB/atom

Lattice parameters (Å, degrees): 5.202 5.202 6.830 90.00 90.00 90.00
Atoms (fractional coordinates):
1 Ba 0.000 0.000 0.500
2 Bi 0.500 0.500 0.752
3 Bi 0.500 0.500 0.248
4 Pd 0.500 0.000 0.000
5 Pd 0.000 0.500 0.000
6 Pb 0.000 0.000 0.000


(2)
## BaBiPdPb2 (GGA-PBE)

Data for BaBiPdPb2 after structural relaxation.

* relative energy among the computed polymorphs: 12 meV per atom
* mass density: 8.5 Mg/m³
* ΔH_f (0 K): -6.20 kcal/mol of atoms
* total moment: 0.000 μB/atom

Lattice parameters (Å, degrees): 5.408 5.408 5.793 90.00 90.00 90.00
Atoms (fractional coordinates):
1 Pb 0.000 0.500 0.000
2 Pb 0.500 0.000 0.000
3 Bi 0.000 0.000 0.500
4 Pd 0.000 0.000 0.000
5 Ba 0.500 0.500 0.500